# CsYInPb2 | Alexandria via LeMat-Bulk | GGA-PBE | optimized geometry
data_CsYInPb2
_space_group_name_H-M_alt 'P 4/m m m'
_space_group_IT_number 123
_space_group_name_Hall '-P 4 2'
_cell_length_a 6.078
_cell_length_b 6.078
_cell_length_c 6.469
_cell_angle_alpha 90.00
_cell_angle_beta 90.00
_cell_angle_gamma 90.00
loop_
_atom_site_label
_atom_site_type_symbol
_atom_site_fract_x
_atom_site_fract_y
_atom_site_fract_z
_atom_site_occupancy
Cs1 Cs 0.000 0.000 0.000 1
Y1 Y 0.500 0.500 0.000 1
In1 In 0.500 0.500 0.500 1
Pb1 Pb 0.000 0.500 0.500 1
# N(E_F) ... 0.944 states/eV per atom
# E_tot ... -3.15 eV per atom
# Total magnetization ... 0.0 μB per formula unit
# Calculated volume ... 47.8 A^3/atom
# Energy relative to the elements ... 0.349 eV per atom